No. 1
Density functional theory data (PBE-GGA) for a relaxed structure of Er2ThAs3.

Cell and atoms, written as POSCAR:
```
Er2ThAs3
1.0
-0.863 -2.699 3.033
5.749 -0.589 1.112
-2.750 6.304 1.985
Er Th As
2 1 3
Direct
0.166 0.666 0.331 Er
0.834 0.334 0.669 Er
0.500 0.000 0.000 Th
0.500 0.500 0.000 As
0.172 0.172 0.344 As
0.828 0.828 0.656 As
```

Results
As for the formation energy: -8.88 eV/f.u. The calculation puts the raw total energy at -6.56 eV per atom.

=====

No. 2
Density functional theory data (PBE-GGA) for a relaxed structure of ErTh2As3.

Cell and atoms, written as POSCAR:
```
ErTh2As3
1.0
-3.463 2.210 -0.846
-1.260 -3.694 -4.491
-0.937 -2.919 6.605
Er Th As
1 2 3
Direct
0.500 0.500 0.500 Er
0.833 0.833 0.166 Th
0.167 0.167 0.834 Th
0.839 0.339 0.178 As
0.161 0.661 0.822 As
0.500 0.000 0.500 As
```

Results
As for the formation energy: -8.57 eV/f.u. The calculation puts the raw total energy at -6.99 eV per atom.